# 1
DFT (PBE) results for crystalline Cd2MoPt at its relaxed geometry.

Output
Size of the total moment in μB per formula unit: 0.00
Uncorrected energy in eV/atom: -4.342
Crystal system: tetragonal
Energy of formation in kJ per mole of atoms: 32.1

abc: 4.975 4.975 2.891
angles: 90.00 90.00 90.00
Space group P4/mmm (No. 123)
Asymmetric unit:
Cd 0.000 0.500 0.000 (multiplicity 2)
Mo 0.000 0.000 0.500 (multiplicity 1)
Pt 0.500 0.500 0.500 (multiplicity 1)

=====

# 2
DFT (PBE) results for crystalline Cd2MoPt at its relaxed geometry.

Output
Size of the total moment in μB per formula unit: 0.00
Uncorrected energy in eV/atom: -4.439
Crystal system: orthorhombic
Energy of formation in kJ per mole of atoms: 22.8

abc: 5.774 8.962 2.765
angles: 90.00 90.00 90.00
Space group Cmmm (No. 65)
Asymmetric unit:
Cd 0.250 0.250 0.000 (multiplicity 4)
Mo 0.000 0.000 0.500 (multiplicity 2)
Pt 0.000 0.500 0.500 (multiplicity 2)

=====

# 3
DFT (PBE) results for crystalline Cd2MoPt at its relaxed geometry.

Output
Size of the total moment in μB per formula unit: 0.98
Uncorrected energy in eV/atom: -4.040
Crystal system: tetragonal
Energy of formation in kJ per mole of atoms: 61.3

abc: 7.696 7.696 5.362
angles: 90.00 90.00 90.00
Space group I-42d (No. 122)
Asymmetric unit:
Cd 0.236 0.250 0.125 (multiplicity 8)
Mo 0.000 0.000 0.500 (multiplicity 4)
Pt 0.000 0.000 0.000 (multiplicity 4)

=====

# 4
DFT (PBE) results for crystalline CdMoPt2 at its relaxed geometry.

Output
Size of the total moment in μB per formula unit: 1.70
Uncorrected energy in eV/atom: -5.979
Crystal system: tetragonal
Energy of formation in kJ per mole of atoms: -2.1

abc: 4.103 4.103 7.888
angles: 90.00 90.00 90.00
Space group I4/mmm (No. 139)
Asymmetric unit:
Cd 0.000 0.000 0.000 (multiplicity 2)
Mo 0.000 0.000 0.500 (multiplicity 2)
Pt 0.000 0.500 0.250 (multiplicity 4)

=====

# 5
DFT (PBE) results for crystalline Cd2MoPt9 at its relaxed geometry.

Output
Size of the total moment in μB per formula unit: 0.00
Uncorrected energy in eV/atom: -5.839
Crystal system: tetragonal
Energy of formation in kJ per mole of atoms: -24.4

abc: 4.005 4.005 12.093
angles: 90.00 90.00 90.00
Space group P4/mmm (No. 123)
Asymmetric unit:
Cd 0.000 0.000 0.168 (multiplicity 2)
Mo 0.000 0.000 0.500 (multiplicity 1)
Pt 0.000 0.500 0.000 (multiplicity 2)
Pt 0.000 0.500 0.343 (multiplicity 4)
Pt 0.500 0.500 0.170 (multiplicity 2)
Pt 0.500 0.500 0.500 (multiplicity 1)

=====

# 6
DFT (PBE) results for crystalline Cd2MoPt at its relaxed geometry.

Output
Size of the total moment in μB per formula unit: 0.30
Uncorrected energy in eV/atom: -4.482
Crystal system: orthorhombic
Energy of formation in kJ per mole of atoms: 18.7

abc: 2.828 5.014 10.560
angles: 90.00 90.00 90.00
Space group Imm2 (No. 44)
Asymmetric unit:
Cd 0.000 0.000 0.000 (multiplicity 2)
Cd 0.000 0.500 0.212 (multiplicity 2)
Mo 0.000 0.500 0.754 (multiplicity 2)
Pt 0.000 0.000 0.465 (multiplicity 2)

=====

# 7
DFT (PBE) results for crystalline CdMoPt2 at its relaxed geometry.

Output
Size of the total moment in μB per formula unit: 0.00
Uncorrected energy in eV/atom: -5.992
Crystal system: trigonal
Energy of formation in kJ per mole of atoms: -3.4

abc: 2.8455 2.8455 28.4150
angles: 90.00 90.00 120.00
Space group R3m (No. 160, hexagonal axes)
Asymmetric unit:
Cd 0.0000 0.0000 0.0000 (multiplicity 3)
Mo 0.0000 0.0000 0.7557 (multiplicity 3)
Pt 0.0000 0.0000 0.2482 (multiplicity 3)
Pt 0.0000 0.0000 0.4979 (multiplicity 3)

=====

# 8
DFT (PBE) results for crystalline CdMoPt2 at its relaxed geometry.

Output
Size of the total moment in μB per formula unit: 0.00
Uncorrected energy in eV/atom: -6.295
Crystal system: tetragonal
Energy of formation in kJ per mole of atoms: -32.6

abc: 2.837 2.837 8.190
angles: 90.00 90.00 90.00
Space group P4/mmm (No. 123)
Asymmetric unit:
Cd 0.000 0.000 0.000 (multiplicity 1)
Mo 0.000 0.000 0.500 (multiplicity 1)
Pt 0.500 0.500 0.268 (multiplicity 2)

=====

# 9
DFT (PBE) results for crystalline CdMo2Pt at its relaxed geometry.

Output
Size of the total moment in μB per formula unit: 0.00
Uncorrected energy in eV/atom: -6.968
Crystal system: orthorhombic
Energy of formation in kJ per mole of atoms: 18.0

abc: 3.343 4.639 8.804
angles: 90.00 90.00 90.00
Space group Imm2 (No. 44)
Asymmetric unit:
Cd 0.000 0.000 0.000 (multiplicity 2)
Mo 0.000 0.000 0.483 (multiplicity 2)
Mo 0.000 0.500 0.774 (multiplicity 2)
Pt 0.000 0.500 0.236 (multiplicity 2)

=====

# 10
DFT (PBE) results for crystalline CdMoPt at its relaxed geometry.

Output
Size of the total moment in μB per formula unit: 0.00
Uncorrected energy in eV/atom: -5.788
Crystal system: orthorhombic
Energy of formation in kJ per mole of atoms: 13.6

abc: 2.807 4.050 8.958
angles: 90.00 90.00 90.00
Space group Imm2 (No. 44)
Asymmetric unit:
Cd 0.000 0.000 0.000 (multiplicity 2)
Mo 0.000 0.000 0.321 (multiplicity 2)
Pt 0.000 0.000 0.676 (multiplicity 2)

=====

# 11
DFT (PBE) results for crystalline Cd2MoPt at its relaxed geometry.

Output
Size of the total moment in μB per formula unit: 0.00
Uncorrected energy in eV/atom: -4.538
Crystal system: orthorhombic
Energy of formation in kJ per mole of atoms: 13.3

abc: 4.033 4.051 8.659
angles: 90.00 90.00 90.00
Space group Cmmm (No. 65)
Asymmetric unit:
Cd 0.000 0.000 0.242 (multiplicity 4)
Mo 0.000 0.500 0.500 (multiplicity 2)
Pt 0.000 0.500 0.000 (multiplicity 2)

=====

# 12
DFT (PBE) results for crystalline Cd2MoPt at its relaxed geometry.

Output
Size of the total moment in μB per formula unit: 0.00
Uncorrected energy in eV/atom: -4.712
Crystal system: tetragonal
Energy of formation in kJ per mole of atoms: -3.5

abc: 2.924 2.924 8.479
angles: 90.00 90.00 90.00
Space group P4mm (No. 99)
Asymmetric unit:
Cd 0.000 0.000 0.000 (multiplicity 1)
Cd 0.500 0.500 0.289 (multiplicity 1)
Mo 0.000 0.000 0.544 (multiplicity 1)
Pt 0.500 0.500 0.749 (multiplicity 1)